# Ba5Sb2PO, relaxed, DFT GGA-PBE
data_Ba5Sb2PO
_symmetry_space_group_name_H-M 'C m c 21'
_symmetry_Int_Tables_number 36
_cell_length_a 4.638
_cell_length_b 20.250
_cell_length_c 14.998
_cell_angle_alpha 90.00
_cell_angle_beta 90.00
_cell_angle_gamma 90.00
loop_
_symmetry_equiv_pos_as_xyz
'x,y,z'
'-x,-y,z+1/2'
'-x,y,z'
'x,-y,z+1/2'
'x+1/2,y+1/2,z'
'-x+1/2,-y+1/2,z+1/2'
'-x+1/2,y+1/2,z'
'x+1/2,-y+1/2,z+1/2'
loop_
_atom_site_label
_atom_site_type_symbol
_atom_site_fract_x
_atom_site_fract_y
_atom_site_fract_z
Ba1 Ba 0.000 0.008 0.000
Ba2 Ba 0.000 0.157 0.228
Ba3 Ba 0.000 0.170 0.602
Ba4 Ba 0.000 0.208 0.893
Ba5 Ba 0.000 0.469 0.225
Sb1 Sb 0.000 0.364 0.552
Sb2 Sb 0.000 0.390 0.904
P1 P 0.000 0.310 0.248
O1 O 0.000 0.044 0.647
# - ΔE_f (raw): -11.86 eV/f.u.
# - Density of states at the Fermi level: 7.888 states/eV/f.u.

# Ba4SbPO, relaxed, DFT GGA-PBE
data_Ba4SbPO
_symmetry_space_group_name_H-M 'I 4 m m'
_symmetry_Int_Tables_number 107
_symmetry_space_group_name_Hall 'I 4 -2'
_cell_length_a 5.216
_cell_length_b 5.216
_cell_length_c 18.248
_cell_angle_alpha 90.00
_cell_angle_beta 90.00
_cell_angle_gamma 90.00
loop_
_atom_site_label
_atom_site_type_symbol
_atom_site_fract_x
_atom_site_fract_y
_atom_site_fract_z
Ba1 Ba 0.000 0.000 0.000
Ba2 Ba 0.000 0.000 0.361
Ba3 Ba 0.000 0.500 0.198
Sb1 Sb 0.000 0.000 0.555
P1 P 0.000 0.000 0.824
O1 O 0.000 0.000 0.220
# - ΔE_f (raw): -10.15 eV/f.u.

# BaScPO2, relaxed, DFT GGA-PBE
data_BaScPO2
_symmetry_space_group_name_H-M 'P 4/m m m'
_symmetry_Int_Tables_number 123
_symmetry_space_group_name_Hall '-P 4 2'
_cell_length_a 4.341
_cell_length_b 4.341
_cell_length_c 6.319
_cell_angle_alpha 90.00
_cell_angle_beta 90.00
_cell_angle_gamma 90.00
loop_
_atom_site_label
_atom_site_type_symbol
_atom_site_fract_x
_atom_site_fract_y
_atom_site_fract_z
Ba1 Ba 0.000 0.000 0.000
Sc1 Sc 0.500 0.500 0.500
P1 P 0.000 0.000 0.500
O1 O 0.000 0.500 0.000
# - ΔE_f (raw): -1.62 eV/f.u.
# - Density of states at the Fermi level: 1.481 states/eV/f.u.
# - E above lowest polymorph: 1384 meV per atom

# BaScPO2, relaxed, DFT GGA-PBE
data_BaScPO2
_symmetry_space_group_name_H-M 'P 4/m m m'
_symmetry_Int_Tables_number 123
_symmetry_space_group_name_Hall '-P 4 2'
_cell_length_a 4.304
_cell_length_b 4.304
_cell_length_c 5.117
_cell_angle_alpha 90.00
_cell_angle_beta 90.00
_cell_angle_gamma 90.00
loop_
_atom_site_label
_atom_site_type_symbol
_atom_site_fract_x
_atom_site_fract_y
_atom_site_fract_z
Ba1 Ba 0.000 0.000 0.000
Sc1 Sc 0.500 0.500 0.500
P1 P 0.500 0.500 0.000
O1 O 0.000 0.500 0.500
# - ΔE_f (raw): -8.54 eV/f.u.
# - Density of states at the Fermi level: 4.548 states/eV/f.u.
# - E above lowest polymorph: 0 meV per atom

Summary of total energy in eV per atom
-4.454 -4.618 -5.041 -6.424
(order as listed above)